Record 1
A relaxed structure of SrCeBr5, computed with PBE-GGA.

Unit cell a=7.6398 b=7.6398 c=11.3508 alpha=108.32 beta=108.32 gamma=85.06
Closest atoms and distances in Å follow each position.
Element x y z (fractional)
Sr1 0.0857 0.9143 0.7500  5 Br 3.01-3.19
Sr2 0.9143 0.0857 0.2500  5 Br 3.01-3.19
Ce1 0.0000 0.5000 0.0000  6 Br 2.87-3.04
Ce2 0.5000 0.0000 0.5000  6 Br 2.87-3.04
Br1 0.1821 0.2290 0.5221  1 Ce 2.90, 1 Sr 3.03
Br2 0.2067 0.5938 0.8562  1 Ce 2.87, 1 Sr 3.01
Br3 0.2232 0.7768 0.2500  2 Ce 3.04, 1 Sr 3.19
Br4 0.2290 0.1821 0.0221  1 Ce 2.90, 1 Sr 3.03
Br5 0.4062 0.7933 0.6438  1 Ce 2.87, 1 Sr 3.01
Br6 0.5938 0.2067 0.3562  1 Ce 2.87, 1 Sr 3.01
Br7 0.7710 0.8179 0.9779  1 Ce 2.90, 1 Sr 3.03
Br8 0.7768 0.2232 0.7500  2 Ce 3.04, 1 Sr 3.19
Br9 0.7933 0.4062 0.1438  1 Ce 2.87, 1 Sr 3.01
Br10 0.8179 0.7710 0.4779  1 Ce 2.90, 1 Sr 3.03

Results
total energy = -4.162 eV/atom
volume = 42.64 Å³/atom
D(E_F) = 7.504 states/eV per cell
formation energy (no corrections) = -1879 meV per atom

=====

Record 2
A relaxed structure of LaMg2GaRh, computed with PBE-GGA.

Unit cell a=4.9151 b=4.9151 c=4.8269 alpha=90.00 beta=90.00 gamma=90.00
Closest atoms and distances in Å follow each position.
Element x y z (fractional)
La1 0.0000 0.0000 0.0000  8 Mg 3.44, 4 Ga 3.48
Mg1 0.0000 0.5000 0.5000  2 Rh 2.46
Mg2 0.5000 0.0000 0.5000  2 Rh 2.46
Ga1 0.5000 0.5000 0.0000  2 Rh 2.41
Rh1 0.5000 0.5000 0.5000  2 Ga 2.41, 4 Mg 2.46

Results
total energy = -4.109 eV/atom
formation enthalpy at 0 K = -0.410 eV per atom
volume = 23.32 Å³/atom
D(E_F) = 4.145 states/eV per cell

=====

Record 3
A relaxed structure of RbLaNb2, computed with PBE-GGA.

Unit cell a=5.2804 b=5.2804 c=5.2804 alpha=60.00 beta=60.00 gamma=60.00
Closest atoms and distances in Å follow each position.
Element x y z (fractional)
Rb1 0.0000 0.0000 0.0000  8 Nb 3.23
La1 0.5000 0.5000 0.5000  8 Nb 3.23
Nb1 0.2500 0.2500 0.2500  4 La 3.23, 4 Rb 3.23
Nb2 0.7500 0.7500 0.7500  4 La 3.23, 4 Rb 3.23

Results
total energy = -4.865 eV/atom
formation enthalpy at 0 K = 1.643 eV per atom
volume = 26.03 Å³/atom
D(E_F) = 6.084 states/eV per cell

=====

Record 4
A relaxed structure of TiBr2O, computed with PBE-GGA.

Unit cell a=6.3562 b=6.3562 c=6.3562 alpha=120.93 beta=120.93 gamma=88.40
Closest atoms and distances in Å follow each position.
Element x y z (fractional)
Ti1 0.0000 0.0000 0.0000  4 Br 2.44
Ti2 0.7500 0.2500 0.5000  4 Br 2.44
Br1 0.1126 0.6250 0.9876  2 Ti 2.44, 2 O 2.54
Br2 0.3750 0.3626 0.4876  2 Ti 2.44, 2 O 2.54
Br3 0.6374 0.1250 0.0124  2 Ti 2.44, 2 O 2.54
Br4 0.8750 0.8874 0.5124  2 Ti 2.44, 2 O 2.54
O1 0.2500 0.7500 0.5000  4 Br 2.54
O2 0.5000 0.5000 0.0000  4 Br 2.54

Results
total energy = -4.042 eV/atom
volume = 22.37 Å³/atom
D(E_F) = 0.680 states/eV per cell
formation energy (no corrections) = 8 meV per atom

=====

Record 5
A relaxed structure of Fe2TcP, computed with PBE-GGA.

Unit cell a=4.3785 b=4.3785 c=4.2244 alpha=105.50 beta=105.50 gamma=38.47
Closest atoms and distances in Å follow each position.
Element x y z (fractional)
Fe1 0.0000 0.0000 0.0000  3 Fe 2.34-2.38, 2 P 2.35
Fe2 0.7391 0.7391 0.1164  3 Fe 2.34-2.38, 2 P 2.53, 4 Tc 2.56
Tc1 0.2278 0.2278 0.6094  3 P 2.42-2.44, 4 Fe 2.56
P1 0.4832 0.4832 0.4294  4 Fe 2.35-2.53, 3 Tc 2.42-2.44

Results
total energy = -8.257 eV/atom
formation enthalpy at 0 K = -0.081 eV per atom
volume = 12.08 Å³/atom
D(E_F) = 3.720 states/eV per cell

=====

Record 6
A relaxed structure of CsTl2AgAu, computed with PBE-GGA.

Unit cell a=5.6022 b=5.6022 c=5.5678 alpha=90.00 beta=90.00 gamma=90.00
Closest atoms and distances in Å follow each position.
Element x y z (fractional)
Cs1 0.0000 0.0000 0.0000  8 Tl 3.95, 4 Au 3.96
Tl1 0.0000 0.5000 0.5000  2 Ag 2.80
Tl2 0.5000 0.0000 0.5000  2 Ag 2.80
Ag1 0.5000 0.5000 0.5000  2 Au 2.78, 4 Tl 2.80
Au1 0.5000 0.5000 0.0000  2 Ag 2.78

Results
total energy = -2.273 eV/atom
formation enthalpy at 0 K = 0.069 eV per atom
volume = 34.95 Å³/atom
D(E_F) = 3.084 states/eV per cell